#P
An optimized crystal structure of TePtRh2. Source: Alexandria, functional PBE-GGA.

The structure in CIF format:
```
data_TePtRh2
_chemical_formula_sum 'Te2 Pt2 Rh4'
_cell_length_a 8.981
_cell_length_b 3.410
_cell_length_c 4.532
_cell_angle_alpha 90.00
_cell_angle_beta 105.30
_cell_angle_gamma 90.00
_symmetry_space_group_name_H-M 'C 1 m 1'
_symmetry_Int_Tables_number 8
loop_
_symmetry_equiv_pos_as_xyz
'x,y,z'
'x,-y,z'
'x+1/2,y+1/2,z'
'x+1/2,-y+1/2,z'
loop_
_atom_site_label
_atom_site_type_symbol
_atom_site_fract_x
_atom_site_fract_y
_atom_site_fract_z
_atom_site_occupancy
Te1 Te 0.000 0.000 0.000 1
Pt1 Pt 0.252 0.500 0.297 1
Rh1 Rh 0.000 0.500 0.515 1
Rh2 Rh 0.256 0.000 0.780 1
```

Results
DOS(E_F) (states/eV per atom): 1.186

#Q
An optimized crystal structure of TePtRh2. Source: Alexandria, functional PBE-GGA.

The structure in CIF format:
```
data_TePtRh2
_chemical_formula_sum 'Te4 Pt4 Rh8'
_cell_length_a 6.408
_cell_length_b 6.408
_cell_length_c 6.408
_cell_angle_alpha 90.00
_cell_angle_beta 90.00
_cell_angle_gamma 90.00
_symmetry_space_group_name_H-M 'F m -3 m'
_symmetry_Int_Tables_number 225
_symmetry_space_group_name_Hall '-F 4 2 3'
loop_
_atom_site_label
_atom_site_type_symbol
_atom_site_fract_x
_atom_site_fract_y
_atom_site_fract_z
_atom_site_occupancy
Te1 Te 0.000 0.000 0.000 1
Pt1 Pt 0.000 0.000 0.500 1
Rh1 Rh 0.250 0.250 0.250 1
```

Results
DOS(E_F) (states/eV per atom): 1.145

#R
An optimized crystal structure of TePtRh2. Source: Alexandria, functional PBE-GGA.

The structure in CIF format:
```
data_TePtRh2
_chemical_formula_sum 'Te1 Pt1 Rh2'
_cell_length_a 3.144
_cell_length_b 3.788
_cell_length_c 5.647
_cell_angle_alpha 90.00
_cell_angle_beta 90.00
_cell_angle_gamma 90.00
_symmetry_space_group_name_H-M 'P m m 2'
_symmetry_Int_Tables_number 25
loop_
_symmetry_equiv_pos_as_xyz
'x,y,z'
'-x,-y,z'
'-x,y,z'
'x,-y,z'
loop_
_atom_site_label
_atom_site_type_symbol
_atom_site_fract_x
_atom_site_fract_y
_atom_site_fract_z
_atom_site_occupancy
Te1 Te 0.000 0.000 0.000 1
Pt1 Pt 0.500 0.500 0.300 1
Rh1 Rh 0.000 0.000 0.520 1
Rh2 Rh 0.500 0.500 0.772 1
```

Results
DOS(E_F) (states/eV per atom): 1.459

The structure with the greatest stability is #Q.

#P
An optimized crystal structure of Te6PtRh2. Source: Alexandria, functional PBE-GGA.

The structure in CIF format:
```
data_Te6PtRh2
_chemical_formula_sum 'Te6 Pt1 Rh2'
_cell_length_a 6.9802
_cell_length_b 6.9802
_cell_length_c 5.3522
_cell_angle_alpha 90.00
_cell_angle_beta 90.00
_cell_angle_gamma 120.00
_symmetry_space_group_name_H-M 'P -3 1 m'
_symmetry_Int_Tables_number 162
_symmetry_space_group_name_Hall '-P 3 2'
loop_
_atom_site_label
_atom_site_type_symbol
_atom_site_fract_x
_atom_site_fract_y
_atom_site_fract_z
_atom_site_occupancy
Te1 Te 0.0000 0.3384 0.2509 1
Pt1 Pt 0.0000 0.0000 0.0000 1
Rh1 Rh 0.3333 0.6667 0.0000 1
```

Results
DOS(E_F) (states/eV per atom): 0.559

#Q
An optimized crystal structure of Te6PtRh2. Source: Alexandria, functional PBE-GGA.

The structure in CIF format:
```
data_Te6PtRh2
_chemical_formula_sum 'Te12 Pt2 Rh4'
_cell_length_a 6.154
_cell_length_b 6.154
_cell_length_c 12.624
_cell_angle_alpha 90.00
_cell_angle_beta 90.00
_cell_angle_gamma 90.00
_symmetry_space_group_name_H-M 'P 42/m n m'
_symmetry_Int_Tables_number 136
_symmetry_space_group_name_Hall '-P 4n 2n'
loop_
_atom_site_label
_atom_site_type_symbol
_atom_site_fract_x
_atom_site_fract_y
_atom_site_fract_z
_atom_site_occupancy
Te1 Te 0.191 0.191 0.000 1
Te2 Te 0.194 0.194 0.330 1
Pt1 Pt 0.000 0.000 0.500 1
Rh1 Rh 0.000 0.000 0.165 1
```

Results
DOS(E_F) (states/eV per atom): 1.554

The structure with the greatest stability is #P.